Run w
Compound: CaZrBe3
Source: Alexandria
Functional: PBE
Structure: relaxed

The space group is Pm-3m (No. 221) and the conventional cell measures 4.809, 4.809 and 4.809 Å, with angles of 90.00, 90.00 and 90.00 degrees. Symmetry generates all atoms from Ca at (0.000, 0.000, 0.000), Zr at (0.500, 0.500, 0.500) and Be at (0.000, 0.500, 0.500).

The calculation puts the magnetization at 1.5 μB per cell.

Run x
Compound: CaZrBe3
Source: Alexandria
Functional: PBE
Structure: relaxed

The space group is Pm-3m (No. 221) and the conventional cell measures 4.478, 4.478 and 4.478 Å, with angles of 90.00, 90.00 and 90.00 degrees. Symmetry generates all atoms from Ca at (0.000, 0.000, 0.000), Zr at (0.500, 0.500, 0.500) and Be at (0.000, 0.000, 0.500).

The calculation puts the magnetization at 0.0 μB per cell.

Most stable: run w

Run w
Compound: BeCd
Source: Alexandria
Functional: PBE
Structure: relaxed

The space group is I4_1/amd (No. 141, origin choice 2) and the conventional cell measures 3.892, 3.892 and 8.097 Å, with angles of 90.00, 90.00 and 90.00 degrees. Symmetry generates all atoms from Be at (0.000, 0.250, 0.375) and Cd at (0.000, 0.250, 0.875).

The calculation puts the magnetization at 0.0 μB per cell.

Run x
Compound: BeCd
Source: Alexandria
Functional: PBE
Structure: relaxed

The space group is P6_3/mmc (No. 194) and the conventional cell measures 4.0157, 4.0157 and 9.1320 Å, with angles of 90.00, 90.00 and 120.00 degrees. Symmetry generates all atoms from Be at (0.0000, 0.0000, 0.2500), Be at (0.3333, 0.6667, 0.2500) and Cd at (0.3333, 0.6667, 0.5952).

The calculation puts the magnetization at 0.0 μB per cell.

Run y
Compound: BeCd
Source: Alexandria
Functional: PBE
Structure: relaxed

The space group is Imma (No. 74) and the conventional cell measures 2.762, 4.214 and 10.963 Å, with angles of 90.00, 90.00 and 90.00 degrees. Symmetry generates all atoms from Be at (0.000, 0.250, 0.170) and Cd at (0.000, 0.250, 0.608).

The calculation puts the magnetization at 0.0 μB per cell.

Most stable: run y

Run w
Compound: BeCd
Source: Alexandria
Functional: PBE
Structure: relaxed

The space group is Pmmn (No. 59, origin choice 2) and the conventional cell measures 2.809, 3.490 and 6.451 Å, with angles of 90.00, 90.00 and 90.00 degrees. Symmetry generates all atoms from Be at (0.250, 0.250, 0.000) and Cd at (0.250, 0.750, 0.339).

The calculation puts the magnetization at 0.0 μB per cell.

Run x
Compound: BeCd
Source: Alexandria
Functional: PBE
Structure: relaxed

The space group is P4_2/mnm (No. 136) and the conventional cell measures 7.683, 7.683 and 2.838 Å, with angles of 90.00, 90.00 and 90.00 degrees. Symmetry generates all atoms from Be at (0.096, 0.096, 0.000) and Cd at (0.213, 0.787, 0.000).

The calculation puts the magnetization at 0.0 μB per cell.

Run y
Compound: BeCd
Source: Alexandria
Functional: PBE
Structure: relaxed

The space group is Pm-3n (No. 223) and the conventional cell measures 6.875, 6.875 and 6.875 Å, with angles of 90.00, 90.00 and 90.00 degrees. Symmetry generates all atoms from Be at (0.000, 0.250, 0.500) and Cd at (0.000, 0.500, 0.250).

The calculation puts the magnetization at 0.0 μB per cell.

Most stable: run w

Run w
Compound: Be2Cd3
Source: Alexandria
Functional: PBE
Structure: relaxed

The space group is Fdd2 (No. 43) and the conventional cell measures 11.743, 20.781 and 2.785 Å, with angles of 90.00, 90.00 and 90.00 degrees. Symmetry generates all atoms from Be at (0.060, 0.276, 0.000), Cd at (0.000, 0.000, 0.264) and Cd at (0.069, 0.142, 0.975).

The calculation puts the magnetization at 0.0 μB per cell.

Run x
Compound: Be2Cd3
Source: Alexandria
Functional: PBE
Structure: relaxed

The space group is P-3m1 (No. 164) and the conventional cell measures 4.3227, 4.3227 and 5.2177 Å, with angles of 90.00, 90.00 and 120.00 degrees. Symmetry generates all atoms from Be at (0.3333, 0.6667, 0.3748), Cd at (0.0000, 0.0000, 0.5000) and Cd at (0.3333, 0.6667, 0.8632).

The calculation puts the magnetization at 0.0 μB per cell.

Most stable: run x